# LiTl2NiH6 | the Open Quantum Materials Database | PBE | optimized geometry
# - total moment (μB per formula unit) = 0.104
# - symmetry = Fm-3m, No. 225
# - E_tot (eV per cell) = -30.85
data_LiTl2NiH6
_space_group_name_H-M_alt 'P 1'
_space_group_IT_number 1
_space_group_name_Hall 'P 1'
_cell_length_a 5.491
_cell_length_b 5.491
_cell_length_c 5.491
_cell_angle_alpha 60.00
_cell_angle_beta 60.00
_cell_angle_gamma 60.00
loop_
_atom_site_label
_atom_site_fract_x
_atom_site_fract_y
_atom_site_fract_z
_atom_site_occupancy
Li1 0.000 0.000 0.000 1
Tl1 0.250 0.250 0.250 1
Tl2 0.750 0.750 0.750 1
Ni1 0.500 0.500 0.500 1
H1 0.296 0.296 0.704 1
H2 0.296 0.704 0.296 1
H3 0.296 0.704 0.704 1
H4 0.704 0.296 0.296 1
H5 0.704 0.296 0.704 1
H6 0.704 0.704 0.296 1